# NaTl2As (PBE, relaxed)
# Energy = -2.748 eV per atom
# Density of states at the Fermi level = 0.26 states/eV per atom
# Total magnetization = 0.00 μB per formula unit
# E_form = -0.3 eV/f.u.
data_NaTl2As
_cell_length_a 7.821
_cell_length_b 7.821
_cell_length_c 7.821
_cell_angle_alpha 32.54
_cell_angle_beta 32.54
_cell_angle_gamma 32.54
_space_group_name_H-M_alt 'P 1'
_space_group_IT_number 1
_space_group_name_Hall 'P 1'
loop_
_atom_site_label
_atom_site_type_symbol
_atom_site_fract_x
_atom_site_fract_y
_atom_site_fract_z
Na1 Na 0.000 0.000 0.000
Tl1 Tl 0.564 0.564 0.564
Tl2 Tl 0.762 0.762 0.762
As1 As 0.162 0.162 0.162